First-principles (GGA-PBE) data for a relaxed structure of K4SiOs, as listed in Alexandria. Values from VASP.

Structure (Quantum ESPRESSO input):
```
&SYSTEM
  ibrav = 0, nat = 6, ntyp = 3
/
ATOMIC_SPECIES
K 39.10 K.upf
Si 28.09 Si.upf
Os 190.23 Os.upf
ATOMIC_POSITIONS crystal
K 0.125 0.125 0.125
K 0.125 0.125 0.624
K 0.125 0.624 0.125
K 0.624 0.125 0.125
Si 0.500 0.500 0.500
Os 0.750 0.750 0.750
CELL_PARAMETERS angstrom
0.000 4.507 4.507
4.507 0.000 4.507
4.507 4.507 0.000
```

For the uncorrected formation energy, the calculation gives 33.13 kcal/mol of atoms. As for the final energy: -2.070 eV per atom. The space-group type is F-43m, No. 216. The value obtained for the magnetic moment is 2.209 μB per formula unit. Its crystal system is cubic.

First-principles (GGA-PBE) data for a relaxed structure of ReTeI2N, as listed in Alexandria. Values from VASP.

Structure (Quantum ESPRESSO input):
```
&SYSTEM
  ibrav = 0, nat = 5, ntyp = 4
/
ATOMIC_SPECIES
Re 186.21 Re.upf
Te 127.60 Te.upf
I 126.90 I.upf
N 14.01 N.upf
ATOMIC_POSITIONS crystal
Re 0.000 0.000 0.000
Te 0.500 0.500 0.500
I 0.000 0.500 0.000
I 0.500 0.000 0.000
N 0.000 0.000 0.500
CELL_PARAMETERS angstrom
5.650 0.000 0.000
0.000 5.650 0.000
0.000 0.000 3.805
```

For the uncorrected formation energy, the calculation gives 13.35 kcal/mol of atoms. As for the final energy: -4.824 eV per atom. The space-group type is P4/mmm, No. 123. The value obtained for the magnetic moment is 0.000 μB per formula unit. The polymorph energy (0 for the lowest one) comes out at 0 meV per atom. Its crystal system is tetragonal.

First-principles (GGA-PBE) data for a relaxed structure of KW, as listed in Alexandria. Values from VASP.

Structure (Quantum ESPRESSO input):
```
&SYSTEM
  ibrav = 0, nat = 16, ntyp = 2
/
ATOMIC_SPECIES
K 39.10 K.upf
W 183.84 W.upf
ATOMIC_POSITIONS crystal
K 0.216 0.216 0.216
K 0.216 0.784 0.784
K 0.284 0.284 0.716
K 0.284 0.716 0.284
K 0.716 0.284 0.284
K 0.716 0.716 0.716
K 0.784 0.216 0.784
K 0.784 0.784 0.216
W 0.083 0.083 0.917
W 0.083 0.917 0.083
W 0.417 0.417 0.417
W 0.417 0.583 0.583
W 0.583 0.417 0.583
W 0.583 0.583 0.417
W 0.917 0.083 0.083
W 0.917 0.917 0.917
CELL_PARAMETERS angstrom
10.401 0.000 0.000
0.000 10.401 0.000
0.000 0.000 10.401
```

As for the final energy: -5.308 eV per atom. The space-group type is I-43m, No. 217. The value obtained for the magnetic moment is 0.534 μB per formula unit. The polymorph energy (0 for the lowest one) comes out at 795 meV per atom. As for the formation energy: 1.72 eV/atom. Its crystal system is cubic.

First-principles (GGA-PBE) data for a relaxed structure of La8Sn2Pd, as listed in Alexandria. Values from VASP.

Structure (Quantum ESPRESSO input):
```
&SYSTEM
  ibrav = 0, nat = 11, ntyp = 3
/
ATOMIC_SPECIES
La 138.91 La.upf
Sn 118.71 Sn.upf
Pd 106.42 Pd.upf
ATOMIC_POSITIONS crystal
La 0.014 0.014 0.284
La 0.215 0.215 0.809
La 0.350 0.350 0.512
La 0.410 0.410 0.037
La 0.590 0.590 0.963
La 0.650 0.650 0.488
La 0.785 0.785 0.191
La 0.986 0.986 0.716
Sn 0.179 0.179 0.241
Sn 0.821 0.821 0.759
Pd 0.500 0.500 0.500
CELL_PARAMETERS angstrom
10.014 -2.626 0.000
10.014 2.626 0.000
-2.011 0.000 6.806
```

As for the final energy: -5.241 eV per atom. The space-group type is C2/m, No. 12. The value obtained for the magnetic moment is 0.000 μB per formula unit. As for the formation energy: -0.46 eV/atom. Its crystal system is monoclinic.

First-principles (GGA-PBE) data for a relaxed structure of NbGa2I, as listed in Alexandria. Values from VASP.

Structure (Quantum ESPRESSO input):
```
&SYSTEM
  ibrav = 0, nat = 16, ntyp = 3
/
ATOMIC_SPECIES
Nb 92.91 Nb.upf
Ga 69.72 Ga.upf
I 126.90 I.upf
ATOMIC_POSITIONS crystal
Nb 0.000 0.000 0.000
Nb 0.000 0.500 0.500
Nb 0.500 0.000 0.500
Nb 0.500 0.500 0.000
Ga 0.250 0.250 0.250
Ga 0.250 0.250 0.750
Ga 0.250 0.750 0.250
Ga 0.250 0.750 0.750
Ga 0.750 0.250 0.250
Ga 0.750 0.250 0.750
Ga 0.750 0.750 0.250
Ga 0.750 0.750 0.750
I 0.000 0.000 0.500
I 0.000 0.500 0.000
I 0.500 0.000 0.000
I 0.500 0.500 0.500
CELL_PARAMETERS angstrom
6.991 0.000 0.000
0.000 6.991 0.000
0.000 0.000 6.991
```

For the uncorrected formation energy, the calculation gives 18.11 kcal/mol of atoms. As for the final energy: -3.633 eV per atom. The space-group type is Fm-3m, No. 225. The value obtained for the magnetic moment is 0.000 μB per formula unit. The polymorph energy (0 for the lowest one) comes out at 0 meV per atom. Its crystal system is cubic.

First-principles (GGA-PBE) data for a relaxed structure of Pr3SmEr, as listed in Alexandria. Values from VASP.

Structure (Quantum ESPRESSO input):
```
&SYSTEM
  ibrav = 0, nat = 10, ntyp = 3
/
ATOMIC_SPECIES
Pr 140.91 Pr.upf
Sm 150.36 Sm.upf
Er 167.26 Er.upf
ATOMIC_POSITIONS crystal
Pr 0.000 0.000 0.000
Pr 0.000 0.000 0.500
Pr 0.197 0.403 0.750
Pr 0.403 0.197 0.250
Pr 0.597 0.803 0.750
Pr 0.803 0.597 0.250
Sm 0.200 0.800 0.750
Sm 0.800 0.200 0.250
Er 0.328 0.672 0.250
Er 0.672 0.328 0.750
CELL_PARAMETERS angstrom
4.074 -7.117 0.000
4.074 7.117 0.000
0.000 0.000 6.237
```

As for the final energy: -4.394 eV per atom. The space-group type is Cmcm, No. 63. The value obtained for the magnetic moment is 0.000 μB per formula unit. The polymorph energy (0 for the lowest one) comes out at 149 meV per atom. As for the formation energy: 0.33 eV/atom. Its crystal system is orthorhombic.

First-principles (GGA-PBE) data for a relaxed structure of GdDySi, as listed in Alexandria. Values from VASP.

Structure (Quantum ESPRESSO input):
```
&SYSTEM
  ibrav = 0, nat = 12, ntyp = 3
/
ATOMIC_SPECIES
Gd 157.25 Gd.upf
Dy 162.50 Dy.upf
Si 28.09 Si.upf
ATOMIC_POSITIONS crystal
Gd 0.000 0.000 0.000
Gd 0.000 0.500 0.500
Gd 0.500 0.000 0.500
Gd 0.500 0.500 0.000
Dy 0.000 0.000 0.500
Dy 0.000 0.500 0.000
Dy 0.500 0.000 0.000
Dy 0.500 0.500 0.500
Si 0.250 0.250 0.250
Si 0.250 0.750 0.750
Si 0.750 0.250 0.750
Si 0.750 0.750 0.250
CELL_PARAMETERS angstrom
6.871 0.000 0.000
0.000 6.871 0.000
0.000 0.000 6.871
```

For the uncorrected formation energy, the calculation gives -10.90 kcal/mol of atoms. As for the final energy: -8.508 eV per atom. The space-group type is F-43m, No. 216. The value obtained for the magnetic moment is 7.624 μB per formula unit. The polymorph energy (0 for the lowest one) comes out at 0 meV per atom. Its crystal system is cubic.